# 1
This record from Alexandria describes an optimized crystal structure of EuScPt2. The functional is PBE.

Unit cell a=4.5548 b=4.5548 c=5.6058 alpha=66.03 beta=66.03 gamma=60.00
Closest atoms and distances in Å follow each position.
Element x y z (fractional)
1 Pt 0.2837 0.2837 0.1490  3 Sc 2.73, 3 Pt 3.02
2 Pt 0.7163 0.7163 0.8510  3 Sc 2.73, 3 Pt 3.02
3 Eu 0.5000 0.5000 0.5000  8 Pt 3.15-3.21
4 Sc 0.0000 0.0000 0.0000  6 Pt 2.73

Results
Energy relative to the elements (eV/atom): -1.00
DOS at the Fermi energy (states/eV per atom): 3.052

# 2
This record from Alexandria describes an optimized crystal structure of EuScPt4. The functional is PBE.

Unit cell a=5.4146 b=5.4146 c=5.4146 alpha=60.00 beta=60.00 gamma=60.00
Closest atoms and distances in Å follow each position.
Element x y z (fractional)
1 Pt 0.6248 0.6248 0.6248  6 Pt 2.70-2.71
2 Eu 0.0000 0.0000 0.0000  12 Pt 3.18, 4 Sc 3.32
3 Sc 0.2500 0.2500 0.2500  12 Pt 3.17, 4 Eu 3.32
4 Pt 0.1256 0.6248 0.6248  6 Pt 2.70-2.71
5 Pt 0.6248 0.1256 0.6248  6 Pt 2.70-2.71
6 Pt 0.6248 0.6248 0.1256  6 Pt 2.70-2.71

Results
Energy relative to the elements (eV/atom): -0.93
DOS at the Fermi energy (states/eV per atom): 1.960

# 3
This record from Alexandria describes an optimized crystal structure of EuPtSe2. The functional is PBE.

Unit cell a=3.8659 b=3.8659 c=8.8447 alpha=77.38 beta=77.38 gamma=60.00
Closest atoms and distances in Å follow each position.
Element x y z (fractional)
1 Eu 0.0000 0.0000 0.0000  2 Se 3.00
2 Se 0.1167 0.1167 0.6500  3 Pt 2.57
3 Se 0.8833 0.8833 0.3500  3 Pt 2.57
4 Pt 0.5000 0.5000 0.5000  6 Se 2.57

Results
DOS at the Fermi energy (states/eV per atom): 0.698
Formation energy (no corrections) (kJ/mol of atoms): -41.2

# 4
This record from Alexandria describes an optimized crystal structure of Eu2PtSe. The functional is PBE.

Unit cell a=3.6556 b=3.6556 c=7.3406 alpha=90.00 beta=90.00 gamma=90.00
Closest atoms and distances in Å follow each position.
Element x y z (fractional)
1 Se 0.5000 0.5000 0.5000  8 Eu 3.19
2 Eu 0.0000 0.0000 0.7536  4 Pt 3.15, 4 Se 3.19
3 Eu 0.0000 0.0000 0.2464  4 Pt 3.15, 4 Se 3.19
4 Pt 0.5000 0.5000 0.0000  8 Eu 3.15

Results
ΔE to the lowest computed polymorph (meV per atom): 74.5
DOS at the Fermi energy (states/eV per atom): 4.667
Formation energy (no corrections) (kJ/mol of atoms): -125.8

# 5
This record from Alexandria describes an optimized crystal structure of Eu2PtSe. The functional is PBE.

Unit cell a=4.2523 b=4.2523 c=7.5269 alpha=73.59 beta=73.59 gamma=60.00
Closest atoms and distances in Å follow each position.
Element x y z (fractional)
1 Se 0.5000 0.5000 0.5000  6 Eu 3.06
2 Pt 0.0000 0.0000 0.0000  6 Eu 3.00
3 Eu 0.2523 0.2523 0.2432  3 Pt 3.00, 3 Se 3.06
4 Eu 0.7477 0.7477 0.7568  3 Pt 3.00, 3 Se 3.06

Results
ΔE to the lowest computed polymorph (meV per atom): 0.0
DOS at the Fermi energy (states/eV per atom): 4.976
Formation energy (no corrections) (kJ/mol of atoms): -133.0

# 6
This record from Alexandria describes an optimized crystal structure of EuSi2Pt2. The functional is PBE.

Unit cell a=4.2652 b=4.2652 c=5.8280 alpha=111.46 beta=111.46 gamma=90.00
Closest atoms and distances in Å follow each position.
Element x y z (fractional)
1 Si 0.3763 0.3763 0.7526  1 Si 2.47, 4 Pt 2.48
2 Eu 0.0000 0.0000 0.0000  8 Si 3.26, 8 Pt 3.28
3 Pt 0.7500 0.2500 0.5000  4 Si 2.48
4 Pt 0.2500 0.7500 0.5000  4 Si 2.48
5 Si 0.6237 0.6237 0.2474  1 Si 2.47, 4 Pt 2.48

Results
DOS at the Fermi energy (states/eV per atom): 1.897
Formation energy (no corrections) (kJ/mol of atoms): -90.2

no.,density (g/cm3)
1,11.0
2,14.5
3,7.6
4,9.8
5,8.6
6,11.0